# 1
# TaCrBiO6, optimized geometry, DFT PBE+U
# Magnetic moment (μB/f.u.): 2.716
# Final energy (eV per atom): -7.837
data_TaCrBiO6
_chemical_formula_sum 'Ta2 Cr2 Bi2 O12'
_cell_length_a 4.846
_cell_length_b 4.846
_cell_length_c 9.729
_cell_angle_alpha 90.00
_cell_angle_beta 90.00
_cell_angle_gamma 90.00
_space_group_name_H-M_alt 'P 42 n m'
_space_group_IT_number 102
loop_
_space_group_symop_operation_xyz
'x,y,z'
'-y+1/2,x+1/2,z+1/2'
'-x,-y,z'
'y+1/2,-x+1/2,z+1/2'
'-x+1/2,y+1/2,z+1/2'
'y,x,z'
'x+1/2,-y+1/2,z+1/2'
'-y,-x,z'
loop_
_atom_site_label
_atom_site_type_symbol
_atom_site_fract_x
_atom_site_fract_y
_atom_site_fract_z
_atom_site_occupancy
Ta1 Ta 0.000 0.000 0.000 1
Cr1 Cr 0.000 0.000 0.340 1
Bi1 Bi 0.000 0.000 0.668 1
O1 O 0.174 0.174 0.170 1
O2 O 0.205 0.205 0.489 1
O3 O 0.205 0.205 0.858 1


# 2
# TaCr2BiO8, optimized geometry, DFT PBE+U
# Magnetic moment (μB/f.u.): 5.859
# Final energy (eV per atom): -7.712
data_TaCr2BiO8
_chemical_formula_sum 'Ta1 Cr2 Bi1 O8'
_cell_length_a 4.706
_cell_length_b 6.431
_cell_length_c 4.709
_cell_angle_alpha 90.00
_cell_angle_beta 91.10
_cell_angle_gamma 90.00
_space_group_name_H-M_alt 'P 1 2/m 1'
_space_group_IT_number 10
loop_
_space_group_symop_operation_xyz
'x,y,z'
'-x,-y,-z'
'-x,y,-z'
'x,-y,z'
loop_
_atom_site_label
_atom_site_type_symbol
_atom_site_fract_x
_atom_site_fract_y
_atom_site_fract_z
_atom_site_occupancy
Ta1 Ta 0.000 0.000 0.000 1
Cr1 Cr 0.500 0.240 0.500 1
Bi1 Bi 0.000 0.500 0.000 1
O1 O 0.201 0.231 0.801 1
O2 O 0.304 0.000 0.305 1
O3 O 0.319 0.500 0.320 1


# 3
# TbCrBi2O6, optimized geometry, DFT PBE+U
# Magnetic moment (μB/f.u.): 2.997
# Final energy (eV per atom): -6.908
data_TbCrBi2O6
_chemical_formula_sum 'Tb2 Cr2 Bi4 O12'
_cell_length_a 5.595
_cell_length_b 6.029
_cell_length_c 9.881
_cell_angle_alpha 90.00
_cell_angle_beta 124.25
_cell_angle_gamma 90.00
_space_group_name_H-M_alt 'P 1 21/c 1'
_space_group_IT_number 14
loop_
_space_group_symop_operation_xyz
'x,y,z'
'-x,-y,-z'
'-x,y+1/2,-z+1/2'
'x,-y+1/2,z+1/2'
loop_
_atom_site_label
_atom_site_type_symbol
_atom_site_fract_x
_atom_site_fract_y
_atom_site_fract_z
_atom_site_occupancy
Tb1 Tb 0.000 0.000 0.000 1
Cr1 Cr 0.500 0.000 0.500 1
Bi1 Bi 0.231 0.044 0.742 1
O1 O 0.142 0.172 0.451 1
O2 O 0.269 0.706 0.436 1
O3 O 0.387 0.047 0.265 1


Question: Look up the final energy of the first one.
Answer: -7.837 eV per atom


Question: Among the records above, which one has the lowest magnetic moment?
Answer: TaCrBiO6


Question: Which of these has the highest magnetic moment?
Answer: TaCr2BiO8


Question: Among the records above, which one has the lowest magnetic moment?
Answer: TaCrBiO6